# 1
Computed, not measured: Tb2Tl3CdSe6 after structural relaxation at the PBE level of DFT.

It has space group C2/m (No. 12), with a = 7.2664 Å, b = 12.6103 Å, c = 7.8898 Å, α = 90.00°, β = 107.97° and γ = 90.00°. The inequivalent atoms are Tb at (0.0000, 0.1665, 0.0000), Tl at (0.0000, 0.0000, 0.5000), Tl at (0.0000, 0.3314, 0.5000), Cd at (0.0000, 0.5000, 0.0000), Se at (0.2362, 0.0000, 0.2120) and Se at (0.2381, 0.3323, 0.2115).

The density of states at the Fermi level comes out at 10.875 states/eV per cell. The energy relative to the elements, uncorrected comes out at -1018 meV per atom. The value obtained for the total DFT energy (no corrections) is -4.20 eV per atom.

# 2
Computed, not measured: CdTcSe2 after structural relaxation at the PBE level of DFT.

It has space group Amm2 (No. 38), with a = 3.3728 Å, b = 4.4785 Å, c = 12.0237 Å, α = 90.00°, β = 90.00° and γ = 90.00°. The inequivalent atoms are Cd at (0.0000, 0.0000, 0.0000), Tc at (0.5000, 0.0000, 0.7920), Se at (0.0000, 0.0000, 0.6460) and Se at (0.5000, 0.0000, 0.3660).

The density of states at the Fermi level comes out at 7.288 states/eV per cell. The energy relative to the elements, uncorrected comes out at -40 meV per atom. The value obtained for the total DFT energy (no corrections) is -4.60 eV per atom.

# 3
Computed, not measured: CdTcSe2 after structural relaxation at the PBE level of DFT.

It has space group Pmmm (No. 47), with a = 3.6393 Å, b = 3.9873 Å, c = 6.0109 Å, α = 90.00°, β = 90.00° and γ = 90.00°. The inequivalent atoms are Cd at (0.0000, 0.0000, 0.0000), Tc at (0.0000, 0.5000, 0.5000), Se at (0.5000, 0.0000, 0.5000) and Se at (0.5000, 0.5000, 0.0000).

The density of states at the Fermi level comes out at 2.959 states/eV per cell. The energy relative to the elements, uncorrected comes out at 428 meV per atom. The value obtained for the total DFT energy (no corrections) is -4.13 eV per atom.

# 4
Computed, not measured: CdTcSe2 after structural relaxation at the PBE level of DFT.

It has space group P2/m (No. 10), with a = 5.3792 Å, b = 3.1869 Å, c = 5.6375 Å, α = 90.00°, β = 112.57° and γ = 90.00°. The inequivalent atoms are Cd at (0.0000, 0.0000, 0.0000), Tc at (0.0000, 0.0000, 0.5000) and Se at (0.3813, 0.5000, 0.6649).

The density of states at the Fermi level comes out at 3.024 states/eV per cell. The energy relative to the elements, uncorrected comes out at 43 meV per atom. The value obtained for the total DFT energy (no corrections) is -4.52 eV per atom.

# 5
Computed, not measured: Cd3TcSe after structural relaxation at the PBE level of DFT.

It has space group Pm-3m (No. 221), with a = 5.3001 Å, b = 5.3001 Å, c = 5.3001 Å, α = 90.00°, β = 90.00° and γ = 90.00°. The inequivalent atoms are Cd at (0.0000, 0.0000, 0.5000), Tc at (0.0000, 0.0000, 0.0000) and Se at (0.5000, 0.5000, 0.5000).

Its energy above the most stable polymorph in this dataset is 0.000 eV/atom. The density of states at the Fermi level comes out at 2.467 states/eV per cell. The energy relative to the elements, uncorrected comes out at 900 meV per atom. The value obtained for the total DFT energy (no corrections) is -2.42 eV per atom.

# 6
Computed, not measured: CdTcSe2 after structural relaxation at the PBE level of DFT.

It has space group Immm (No. 71), with a = 3.0448 Å, b = 4.9323 Å, c = 11.7286 Å, α = 90.00°, β = 90.00° and γ = 90.00°. The inequivalent atoms are Cd at (0.0000, 0.0000, 0.0000), Tc at (0.0000, 0.0000, 0.5000) and Se at (0.0000, 0.5000, 0.1701).

The density of states at the Fermi level comes out at 7.739 states/eV per cell. The energy relative to the elements, uncorrected comes out at 10 meV per atom. The value obtained for the total DFT energy (no corrections) is -4.55 eV per atom.

What are the total magnetic moment values for these records? In order: 0.0, 0.0, 3.4, 0.4, 3.1, 0.8 μB/f.u..